The following is a DFT calculation (GGA-PBEsol) of a relaxed MnCdTc2 crystal.

- Total moment: 5.8 μB per cell
- SG: No. 44
- E_form: 41.00 kJ per mole of atoms

abc: 3.2337 4.3630 8.4033
angles: 90.00 90.00 90.00
Positions (direct):
Mn 0.0000 0.0000 0.0000
Mn 0.5000 0.5000 0.5000
Cd 0.0000 0.5000 0.2403
Cd 0.5000 0.0000 0.7403
Tc 0.0000 0.0000 0.4698
Tc 0.0000 0.5000 0.7405
Tc 0.5000 0.0000 0.2405
Tc 0.5000 0.5000 0.9698

=====

The following is a DFT calculation (GGA-PBEsol) of a relaxed BaMg2In crystal.

- Total moment: 0.0 μB per cell
- SG: No. 123
- E_form: -8.31 kJ per mole of atoms

abc: 3.7542 3.7542 8.4590
angles: 90.00 90.00 90.00
Positions (direct):
Ba 0.0000 0.0000 0.0000
Mg 0.5000 0.5000 0.3072
Mg 0.5000 0.5000 0.6928
In 0.0000 0.0000 0.5000

=====

The following is a DFT calculation (GGA-PBEsol) of a relaxed ZrCdPb2 crystal.

- Total moment: 0.0 μB per cell
- SG: No. 8
- E_form: -6.42 kJ per mole of atoms

abc: 11.5155 3.2682 5.4068
angles: 90.00 110.22 90.00
Positions (direct):
Zr 0.0000 0.0000 0.0000
Zr 0.5000 0.5000 0.0000
Cd 0.2750 0.0000 0.6294
Cd 0.7750 0.5000 0.6294
Pb 0.0197 0.5000 0.5049
Pb 0.2484 0.5000 0.1050
Pb 0.5197 0.0000 0.5049
Pb 0.7484 0.0000 0.1050

=====

The following is a DFT calculation (GGA-PBEsol) of a relaxed CdCu2Pt crystal.

- Total moment: 0.0 μB per cell
- SG: No. 47
- E_form: -8.36 kJ per mole of atoms

abc: 2.7837 3.6527 5.5992
angles: 90.00 90.00 90.00
Positions (direct):
Cd 0.0000 0.0000 0.0000
Cu 0.5000 0.5000 0.2690
Cu 0.5000 0.5000 0.7310
Pt 0.0000 0.0000 0.5000

=====

> Among the records above, which one has the highest E_form?

MnCdTc2

=====

> Which of these has the highest E_form?

MnCdTc2

=====

> Which value of E_form does entry 1 give?

41.00 kJ per mole of atoms